Below is a relaxed structure of La12Co3O5, with properties calculated at the PBE with a Hubbard U level.

Values from the calculation:
Electronic total energy ... -6.2274 eV per atom
V ... 26.30 Å³/atom
Total moment ... 4.748 μB/f.u.

CIF file:
```
data_La12Co3O5
_chemical_formula_sum 'La96 Co24 O40'
_space_group_name_H-M_alt 'I a -3 d'
_space_group_IT_number 230
_space_group_name_Hall '-I 4bd 2c 3'
_cell_length_a 16.145
_cell_length_b 16.145
_cell_length_c 16.145
_cell_angle_alpha 90.00
_cell_angle_beta 90.00
_cell_angle_gamma 90.00
loop_
_atom_site_label
_atom_site_fract_x
_atom_site_fract_y
_atom_site_fract_z
La1 0.036 0.055 0.649
Co1 0.000 0.250 0.125
O1 0.000 0.000 0.000
O2 0.000 0.250 0.375
```